Entry 1:
This record from Alexandria via LeMat-Bulk describes a relaxed structure of NaZn4Pb. The functional is PBE-GGA.

Values from the calculation:
SG: F-43m
DFT total energy: -0.0618 hartree per atom
Total moment: 0.000 μB/f.u.

Lattice parameters (Å, degrees): 5.525 5.525 5.525 60.00 60.00 60.00
Fractional positions:
Pb  0.250  0.250  0.250
Na  0.000  0.000  0.000
Zn  0.626  0.626  0.122
Zn  0.626  0.122  0.626
Zn  0.626  0.626  0.626
Zn  0.122  0.626  0.626

Entry 2:
This record from Alexandria via LeMat-Bulk describes a relaxed structure of YPb3I. The functional is PBE-GGA.

Values from the calculation:
SG: Pm-3m
DFT total energy: -0.1180 hartree per atom
E_form (uncorrected): 616 meV per atom
Total moment: 0.000 μB/f.u.

Lattice parameters (Å, degrees): 5.909 5.909 5.909 90.00 90.00 90.00
Fractional positions:
Pb  0.000  0.500  0.000
Pb  0.000  0.000  0.500
Pb  0.500  0.000  0.000
I  0.000  0.000  0.000
Y  0.500  0.500  0.500

Entry 3:
This record from Alexandria via LeMat-Bulk describes a relaxed structure of PuAu3. The functional is PBE-GGA.

Values from the calculation:
SG: C2/m
DFT total energy: -0.2272 hartree per atom
Total moment: 6.024 μB/f.u.

Lattice parameters (Å, degrees): 6.128 6.637 6.128 122.92 85.57 122.92
Fractional positions:
Pu  0.750  0.750  0.750
Pu  0.250  0.250  0.250
Au  0.750  0.250  0.250
Au  0.250  0.250  0.750
Au  0.250  0.751  0.250
Au  0.750  0.249  0.750
Au  0.250  0.750  0.750
Au  0.750  0.750  0.250

Entry 4:
This record from Alexandria via LeMat-Bulk describes a relaxed structure of Nd3DyH. The functional is PBE-GGA.

Values from the calculation:
SG: Pm-3m
DFT total energy: -0.1697 hartree per atom
Total moment: 0.000 μB/f.u.

Lattice parameters (Å, degrees): 5.144 5.144 5.144 90.00 90.00 90.00
Fractional positions:
H  0.000  0.000  0.000
Nd  0.000  0.500  0.000
Nd  0.000  0.000  0.500
Nd  0.500  0.000  0.000
Dy  0.500  0.500  0.500

Entry 5:
This record from Alexandria via LeMat-Bulk describes a relaxed structure of Pm5Nd3Dy. The functional is PBE-GGA.

Values from the calculation:
SG: C2/m
DFT total energy: -0.1604 hartree per atom
Total moment: 0.000 μB/f.u.

Lattice parameters (Å, degrees): 9.462 9.462 12.439 53.70 53.70 52.73
Fractional positions:
Pm  0.907  0.518  0.225
Pm  0.317  0.683  0.000
Pm  0.638  0.638  0.053
Pm  0.442  0.442  0.419
Pm  0.558  0.558  0.581
Pm  0.362  0.362  0.947
Pm  0.518  0.907  0.225
Pm  0.683  0.317  0.000
Pm  0.093  0.482  0.775
Pm  0.482  0.093  0.775
Nd  0.704  0.704  0.696
Nd  0.844  0.844  0.351
Nd  0.000  0.000  0.000
Nd  0.000  0.000  0.500
Nd  0.296  0.296  0.304
Nd  0.156  0.156  0.649
Dy  0.887  0.887  0.874
Dy  0.113  0.113  0.126

Entry 6:
This record from Alexandria via LeMat-Bulk describes a relaxed structure of ScAlGa. The functional is PBE-GGA.

Values from the calculation:
SG: Cmmm
DFT total energy: -0.1788 hartree per atom
Total moment: 0.000 μB/f.u.

Lattice parameters (Å, degrees): 12.784 4.127 4.069 90.00 90.00 90.00
Fractional positions:
Sc  0.657  0.000  0.500
Sc  0.343  0.000  0.500
Sc  0.157  0.500  0.500
Sc  0.843  0.500  0.500
Al  0.500  0.000  0.000
Al  0.000  0.500  0.000
Al  0.000  0.000  0.500
Al  0.500  0.500  0.500
Ga  0.167  0.000  0.000
Ga  0.833  0.000  0.000
Ga  0.667  0.500  0.000
Ga  0.333  0.500  0.000

Entry 7:
This record from Alexandria via LeMat-Bulk describes a relaxed structure of SrLiAgGe2. The functional is PBE-GGA.

Values from the calculation:
SG: I-4m2
DFT total energy: -0.1309 hartree per atom
Total moment: 0.000 μB/f.u.

Lattice parameters (Å, degrees): 4.414 4.414 6.365 110.29 110.29 90.00
Fractional positions:
Sr  0.000  0.000  0.000
Li  0.750  0.250  0.500
Ag  0.250  0.750  0.500
Ge  0.611  0.611  0.222
Ge  0.389  0.389  0.778

Entry 8:
This record from Alexandria via LeMat-Bulk describes a relaxed structure of LaBe2As. The functional is PBE-GGA.

Values from the calculation:
SG: Pmmm
DFT total energy: -0.1670 hartree per atom
Total moment: 0.000 μB/f.u.

Lattice parameters (Å, degrees): 3.954 4.512 4.368 90.01 90.00 90.00
Fractional positions:
Be  0.000  0.750  0.016
Be  0.000  0.750  0.484
As  0.500  0.750  0.750
La  0.500  0.250  0.250

Entry 9:
This record from Alexandria via LeMat-Bulk describes a relaxed structure of AsAuSe2. The functional is PBE-GGA.

Values from the calculation:
SG: P4mm
DFT total energy: -0.1251 hartree per atom
E_form (uncorrected): 320 meV per atom
Total moment: 0.000 μB/f.u.

Lattice parameters (Å, degrees): 2.730 2.730 12.175 90.00 90.00 90.00
Fractional positions:
As  0.000  0.000  0.533
Au  0.500  0.500  0.718
Se  0.000  0.000  0.970
Se  0.500  0.500  0.279

Entry 10:
This record from Alexandria via LeMat-Bulk describes a relaxed structure of Pr4FeI2Cl. The functional is PBE-GGA.

Values from the calculation:
SG: P2/m
DFT total energy: -0.1788 hartree per atom
E_form (uncorrected): -799 meV per atom
Total moment: 0.000 μB/f.u.

Lattice parameters (Å, degrees): 4.083 7.636 8.296 106.32 90.00 90.00
Fractional positions:
Pr  0.500  0.261  0.194
Pr  0.500  0.739  0.806
Pr  0.000  0.303  0.815
Pr  0.000  0.697  0.185
Fe  0.500  0.500  0.000
I  0.500  0.000  0.500
I  0.000  0.500  0.500
Cl  0.000  0.000  0.000

Entry 11:
This record from Alexandria via LeMat-Bulk describes a relaxed structure of Li2Pm2ErBi2. The functional is PBE-GGA.

Values from the calculation:
SG: R-3m
DFT total energy: -0.1496 hartree per atom
Total moment: 0.001 μB/f.u.

Lattice parameters (Å, degrees): 4.922 4.922 9.365 74.76 74.76 60.00
Fractional positions:
Li  0.597  0.597  0.209
Li  0.403  0.403  0.791
Pm  0.129  0.129  0.613
Pm  0.871  0.871  0.387
Er  0.000  0.000  0.000
Bi  0.731  0.731  0.806
Bi  0.269  0.269  0.194

Entry 12:
This record from Alexandria via LeMat-Bulk describes a relaxed structure of Li3ThPb2. The functional is PBE-GGA.

Values from the calculation:
SG: C2/m
DFT total energy: -0.1371 hartree per atom
Total moment: 0.000 μB/f.u.

Lattice parameters (Å, degrees): 4.642 9.311 9.000 46.74 75.06 75.57
Fractional positions:
Li  0.689  0.106  0.517
Li  0.070  0.345  0.516
Li  0.351  0.508  0.790
Li  0.649  0.492  0.210
Li  0.930  0.655  0.484
Li  0.311  0.894  0.483
Th  0.121  0.840  0.918
Th  0.879  0.160  0.082
Pb  0.512  0.210  0.766
Pb  0.488  0.790  0.234
Pb  0.232  0.303  0.233
Pb  0.768  0.697  0.767

| no. | density (g cm⁻³) |
| --- | --- |
| 1 | 6.8 |
| 2 | 6.7 |
| 3 | 16.6 |
| 4 | 7.3 |
| 5 | 6.6 |
| 6 | 4.4 |
| 7 | 5.3 |
| 8 | 4.9 |
| 9 | 7.9 |
| 10 | 6.1 |
| 11 | 7.9 |
| 12 | 8.1 |